Entry 1:
The following is a PBE-GGA calculation of LiPuPdO6 after structural relaxation, from Alexandria via LeMat-Bulk.

It has space group P4_2nm (No. 102), with a = 4.7682 Å, b = 4.7682 Å, c = 9.3474 Å, α = 90.00°, β = 90.00° and γ = 90.00°. The asymmetric unit holds Li at (0.0000, 0.0000, 0.0000), Pu at (0.0000, 0.0000, 0.6667), Pd at (0.0000, 0.0000, 0.3297), O at (0.1887, 0.1887, 0.5006), O at (0.1980, 0.1980, 0.1701) and O at (0.1980, 0.1980, 0.8271).

As for the total magnetization: 2.00 Bohr magnetons per cell. The crystal system is tetragonal. The volume comes out at 212.5 Å³ per cell. For the uncorrected formation energy, the calculation gives -1.545 eV/atom.

Entry 2:
The following is a PBE-GGA calculation of La2RhCl after structural relaxation, from Alexandria via LeMat-Bulk.

It has space group I-42d (No. 122), with a = 6.4632 Å, b = 6.4632 Å, c = 13.3429 Å, α = 90.00°, β = 90.00° and γ = 90.00°. The asymmetric unit holds La at (0.2195, 0.2500, 0.1250), Rh at (0.0000, 0.0000, 0.0000) and Cl at (0.0000, 0.0000, 0.5000).

As for the total magnetization: 0.00 Bohr magnetons per cell. The crystal system is tetragonal. The volume comes out at 557.4 Å³ per cell. For the uncorrected formation energy, the calculation gives -0.886 eV/atom.

Entry 3:
The following is a PBE-GGA calculation of YTa2Se after structural relaxation, from Alexandria via LeMat-Bulk.

It has space group Cmm2 (No. 35), with a = 3.7666 Å, b = 5.1503 Å, c = 8.5474 Å, α = 90.00°, β = 90.00° and γ = 90.00°. The asymmetric unit holds Y at (0.0000, 0.0000, 0.0000), Ta at (0.0000, 0.0000, 0.4740), Ta at (0.0000, 0.5000, 0.7080) and Se at (0.0000, 0.5000, 0.2476).

As for the total magnetization: 0.00 Bohr magnetons per cell. The crystal system is orthorhombic. The volume comes out at 165.8 Å³ per cell. For the uncorrected formation energy, the calculation gives -0.101 eV/atom.

Entry 4:
The following is a PBE-GGA calculation of PmCu4Au8 after structural relaxation, from Alexandria via LeMat-Bulk.

It has space group I4/mmm (No. 139), with a = 9.2183 Å, b = 9.2183 Å, c = 5.3186 Å, α = 90.00°, β = 90.00° and γ = 90.00°. The asymmetric unit holds Pm at (0.0000, 0.0000, 0.0000), Cu at (0.2500, 0.2500, 0.2500), Au at (0.0000, 0.2192, 0.5000) and Au at (0.0000, 0.3385, 0.0000).

As for the total magnetization: 0.00 Bohr magnetons per cell. The crystal system is tetragonal. The volume comes out at 452.0 Å³ per cell. For the calculated total energy, the calculation gives -3.8972 eV per atom.

Entry 5:
The following is a PBE-GGA calculation of ZrSc2Br after structural relaxation, from Alexandria via LeMat-Bulk.

It has space group Cmmm (No. 65), with a = 7.4341 Å, b = 7.5782 Å, c = 3.3075 Å, α = 90.00°, β = 90.00° and γ = 90.00°. The asymmetric unit holds Zr at (0.0000, 0.0000, 0.0000), Sc at (0.2500, 0.2500, 0.5000) and Br at (0.0000, 0.5000, 0.0000).

As for the total magnetization: 0.00 Bohr magnetons per cell. The crystal system is orthorhombic. The volume comes out at 186.3 Å³ per cell. For the uncorrected formation energy, the calculation gives -0.109 eV/atom.

Entry 6:
The following is a PBE-GGA calculation of AcNdSbBr after structural relaxation, from Alexandria via LeMat-Bulk.

It has space group F-43m (No. 216), with a = 7.8546 Å, b = 7.8546 Å, c = 7.8546 Å, α = 90.00°, β = 90.00° and γ = 90.00°. The asymmetric unit holds Ac at (0.0000, 0.0000, 0.0000), Nd at (0.0000, 0.0000, 0.5000), Sb at (0.2500, 0.2500, 0.2500) and Br at (0.2500, 0.2500, 0.7500).

As for the total magnetization: 0.07 Bohr magnetons per cell. The crystal system is cubic. The volume comes out at 484.6 Å³ per cell. For the uncorrected formation energy, the calculation gives -1.133 eV/atom.

Entry 7:
The following is a PBE-GGA calculation of TcAsIr4 after structural relaxation, from Alexandria via LeMat-Bulk.

It has space group F-43m (No. 216), with a = 7.3404 Å, b = 7.3404 Å, c = 7.3404 Å, α = 90.00°, β = 90.00° and γ = 90.00°. The asymmetric unit holds Tc at (0.0000, 0.0000, 0.0000), As at (0.2500, 0.2500, 0.7500) and Ir at (0.1254, 0.1254, 0.3746).

As for the total magnetization: 12.32 Bohr magnetons per cell. The crystal system is cubic. The volume comes out at 395.5 Å³ per cell. For the calculated total energy, the calculation gives -7.7275 eV per atom.

Entry 8:
The following is a PBE-GGA calculation of YErH2 after structural relaxation, from Alexandria via LeMat-Bulk.

It has space group R3m (No. 160, hexagonal axes), with a = 3.4809 Å, b = 3.4809 Å, c = 17.4637 Å, α = 90.00°, β = 90.00° and γ = 120.00°. The asymmetric unit holds Y at (0.0000, 0.0000, 0.0000), Er at (0.0000, 0.0000, 0.8197), H at (0.0000, 0.0000, 0.4083) and H at (0.0000, 0.0000, 0.5845).

As for the total magnetization: 0.00 Bohr magnetons per cell. The crystal system is trigonal. The volume comes out at 183.3 Å³ per cell. For the calculated total energy, the calculation gives -4.7202 eV per atom.

Entry 9:
The following is a PBE-GGA calculation of LiEuAu after structural relaxation, from Alexandria via LeMat-Bulk.

It has space group F-43m (No. 216), with a = 6.9877 Å, b = 6.9877 Å, c = 6.9877 Å, α = 90.00°, β = 90.00° and γ = 90.00°. The asymmetric unit holds Li at (0.0000, 0.0000, 0.0000), Eu at (0.0000, 0.0000, 0.5000) and Au at (0.2500, 0.2500, 0.7500).

As for the total magnetization: 28.56 Bohr magnetons per cell. The crystal system is cubic. The volume comes out at 341.2 Å³ per cell. For the calculated total energy, the calculation gives -5.5913 eV per atom.

Entry 10:
The following is a PBE-GGA calculation of BaPdPb2Au after structural relaxation, from Alexandria via LeMat-Bulk.

It has space group Cmcm (No. 63), with a = 4.7093 Å, b = 15.9611 Å, c = 7.9933 Å, α = 90.00°, β = 90.00° and γ = 90.00°. The asymmetric unit holds Ba at (0.0000, 0.0880, 0.2500), Pd at (0.0000, 0.2206, 0.7500), Pb at (0.0000, 0.3212, 0.0530) and Au at (0.0000, 0.5000, 0.0000).

As for the total magnetization: 0.00 Bohr magnetons per cell. The crystal system is orthorhombic. The volume comes out at 600.8 Å³ per cell. For the calculated total energy, the calculation gives -3.9675 eV per atom.

Entry 11:
The following is a PBE-GGA calculation of SrLi2V after structural relaxation, from Alexandria via LeMat-Bulk.

It has space group I-42d (No. 122), with a = 4.6384 Å, b = 4.6384 Å, c = 21.4837 Å, α = 90.00°, β = 90.00° and γ = 90.00°. The asymmetric unit holds Sr at (0.0000, 0.0000, 0.0000), Li at (0.1621, 0.2500, 0.6250) and V at (0.0000, 0.0000, 0.5000).

As for the total magnetization: 18.46 Bohr magnetons per cell. The crystal system is tetragonal. The volume comes out at 462.2 Å³ per cell. For the calculated total energy, the calculation gives -2.9355 eV per atom.

Entry 12:
The following is a PBE-GGA calculation of TaTlGe2O8 after structural relaxation, from Alexandria via LeMat-Bulk.

It has space group P-3m1 (No. 164), with a = 5.5440 Å, b = 5.5440 Å, c = 6.7159 Å, α = 90.00°, β = 90.00° and γ = 120.00°. The asymmetric unit holds Ta at (0.0000, 0.0000, 0.0000), Tl at (0.0000, 0.0000, 0.5000), Ge at (0.3333, 0.6667, 0.7248), O at (0.1610, 0.3219, 0.8166) and O at (0.3333, 0.6667, 0.4655).

As for the total magnetization: 0.69 Bohr magnetons per cell. The crystal system is trigonal. The volume comes out at 178.8 Å³ per cell. For the uncorrected formation energy, the calculation gives -1.542 eV/atom.